DFT (PBE) results for crystalline BaNbAsF2 at its relaxed geometry.

abc: 4.6348 7.3255 4.6348
angles: 90.00 90.00 90.00
With the nearest neighbours (Å) after each atom.
Fractional coordinates of all 5 atoms:
1 As 0.0000 0.5000 0.0000  4 Nb 3.28, 2 Ba 3.66
2 Nb 0.5000 0.5000 0.5000  4 As 3.28
3 Ba 0.0000 0.0000 0.0000  4 F 2.32
4 F 0.0000 0.0000 0.5000  2 Ba 2.32
5 F 0.5000 0.0000 0.0000  2 Ba 2.32

Theoretical density in Mg/m³: 3.62
E_tot in eV per atom: -5.05

DFT (PBE) results for crystalline SmYO3 at its relaxed geometry.

abc: 5.7168 5.7168 6.4526
angles: 63.71 63.71 60.00
With the nearest neighbours (Å) after each atom.
Fractional coordinates of all 10 atoms:
1 Sm 0.1439 0.1439 0.5682  6 O 2.31-2.44
2 Sm 0.8561 0.8561 0.4318  6 O 2.31-2.44
3 Y 0.3518 0.3518 0.9445  6 O 2.26-2.37
4 Y 0.6482 0.6482 0.0555  6 O 2.26-2.37
5 O 0.2606 0.9534 0.2479  2 Y 2.26-2.37, 2 Sm 2.31-2.44
6 O 0.9534 0.5380 0.2479  2 Y 2.26-2.37, 2 Sm 2.31-2.44
7 O 0.5380 0.2606 0.2479  2 Y 2.26-2.37, 2 Sm 2.31-2.44
8 O 0.7394 0.4620 0.7521  2 Y 2.26-2.37, 2 Sm 2.31-2.44
9 O 0.0466 0.7394 0.7521  2 Y 2.26-2.37, 2 Sm 2.31-2.44
10 O 0.4620 0.0466 0.7521  2 Y 2.26-2.37, 2 Sm 2.31-2.44

Theoretical density in Mg/m³: 6.08
E_tot in eV per atom: -8.52

DFT (PBE) results for crystalline LiScS2 at its relaxed geometry.

abc: 5.7205 5.7205 6.9697
angles: 65.77 65.77 90.00
With the nearest neighbours (Å) after each atom.
Fractional coordinates of all 8 atoms:
1 Sc 0.0000 0.0000 0.0000  4 S 2.45
2 Sc 0.7500 0.2500 0.5000  4 S 2.45
3 S 0.6300 0.1250 0.2500  2 Sc 2.45, 2 Li 2.49
4 S 0.1200 0.6250 0.2500  2 Sc 2.45, 2 Li 2.49
5 S 0.3750 0.3700 0.7500  2 Sc 2.45, 2 Li 2.49
6 S 0.8750 0.8800 0.7500  2 Sc 2.45, 2 Li 2.49
7 Li 0.5000 0.5000 0.0000  4 S 2.49
8 Li 0.2500 0.7500 0.5000  4 S 2.49

Theoretical density in Mg/m³: 2.07
E_tot in eV per atom: -5.72

DFT (PBE) results for crystalline Ir2AuCl at its relaxed geometry.

abc: 5.4215 5.4215 5.0965
angles: 61.75 61.75 29.75
With the nearest neighbours (Å) after each atom.
Fractional coordinates of all 4 atoms:
1 Ir 0.9870 0.9870 0.0145  2 Cl 2.57, 2 Au 2.78, 2 Ir 2.78
2 Ir 0.5130 0.5130 0.4855  2 Cl 2.57, 2 Au 2.78, 2 Ir 2.78
3 Au 0.7500 0.7500 0.7500  4 Ir 2.78, 2 Au 2.78, 4 Cl 2.90
4 Cl 0.2500 0.2500 0.2500  4 Ir 2.57, 2 Cl 2.78

Relative energy among the computed polymorphs in eV/f.u.: 1.82
Theoretical density in Mg/m³: 15.81
E_tot in eV per atom: -4.93

DFT (PBE) results for crystalline LaNiGe2Os at its relaxed geometry.

abc: 4.1308 4.1308 6.1413
angles: 109.65 109.65 90.00
With the nearest neighbours (Å) after each atom.
Fractional coordinates of all 5 atoms:
1 La 0.0000 0.0000 0.0000  8 Ge 3.24, 4 Ni 3.40, 4 Os 3.40
2 Ni 0.2500 0.7500 0.5000  4 Ge 2.45
3 Ge 0.6289 0.6289 0.2578  2 Ni 2.45, 2 Os 2.45
4 Ge 0.3711 0.3711 0.7422  2 Os 2.45, 2 Ni 2.45
5 Os 0.7500 0.2500 0.5000  4 Ge 2.45

Theoretical density in Mg/m³: 9.60
DFT formation energy in eV per atom: -0.5230
E_tot in eV per atom: -6.76

DFT (PBE) results for crystalline AcHf2N4 at its relaxed geometry.

abc: 6.7642 6.7642 6.7642
angles: 120.04 120.04 89.94
With the nearest neighbours (Å) after each atom.
Fractional coordinates of all 14 atoms:
1 Ac 0.2500 0.7500 0.5000  4 N 2.41
2 Ac 0.0000 0.0000 0.0000  4 N 2.41
3 Hf 0.6250 0.8750 0.2500  6 N 2.21
4 Hf 0.6250 0.3750 0.7500  6 N 2.21
5 Hf 0.1250 0.3750 0.7500  6 N 2.21
6 Hf 0.6250 0.3750 0.2500  6 N 2.21
7 N 0.8544 0.5635 0.7091  3 Hf 2.21, 1 Ac 2.41
8 N 0.3956 0.1865 0.7909  3 Hf 2.21, 1 Ac 2.41
9 N 0.8544 0.1453 0.2909  3 Hf 2.21, 1 Ac 2.41
10 N 0.4365 0.1456 0.2909  3 Hf 2.21, 1 Ac 2.41
11 N 0.8547 0.1456 0.7091  3 Hf 2.21, 1 Ac 2.41
12 N 0.3956 0.6047 0.2091  3 Hf 2.21, 1 Ac 2.41
13 N 0.8135 0.6044 0.2091  3 Hf 2.21, 1 Ac 2.41
14 N 0.3953 0.6044 0.7909  3 Hf 2.21, 1 Ac 2.41

Theoretical density in Mg/m³: 9.72
E_tot in eV per atom: -9.50

DFT (PBE) results for crystalline HfAs2RhSe at its relaxed geometry.

abc: 4.6872 4.6872 4.9873
angles: 90.00 90.00 90.00
With the nearest neighbours (Å) after each atom.
Fractional coordinates of all 5 atoms:
1 Rh 0.0000 0.0000 0.0000  4 As 2.34, 2 Se 2.49
2 As 0.0000 0.5000 0.0000  2 Rh 2.34
3 As 0.5000 0.0000 0.0000  2 Rh 2.34
4 Hf 0.5000 0.5000 0.5000  4 Se 3.31, 8 As 3.42
5 Se 0.0000 0.0000 0.5000  2 Rh 2.49

Relative energy among the computed polymorphs in eV/f.u.: 0.00
Theoretical density in Mg/m³: 7.73
E_tot in eV per atom: -5.67

DFT (PBE) results for crystalline Pr2Ho3Tm at its relaxed geometry.

abc: 5.5802 8.9978 10.0602
angles: 123.03 90.00 108.06
With the nearest neighbours (Å) after each atom.
Fractional coordinates of all 12 atoms:
1 Pr 0.5080 0.0161 0.8584  1 Pr 3.01, 1 Ho 3.13
2 Pr 0.4920 0.9839 0.1416  1 Pr 3.01, 1 Ho 3.13
3 Pr 0.7699 0.5399 0.1288  3 Ho 3.40-3.69, 3 Pr 3.60-3.67, 2 Tm 3.68
4 Pr 0.2301 0.4601 0.8712  3 Ho 3.40-3.69, 3 Pr 3.60-3.67, 2 Tm 3.68
5 Ho 0.2908 0.5815 0.5736  3 Ho 3.09-3.45, 1 Pr 3.13
6 Ho 0.9521 0.9043 0.6067  6 Ho 3.36-3.75, 2 Pr 3.51, 1 Tm 3.60
7 Ho 0.6130 0.2260 0.6545  4 Ho 3.29-3.55, 3 Pr 3.40-3.41, 1 Tm 3.58
8 Ho 0.3870 0.7740 0.3455  4 Ho 3.29-3.55, 3 Pr 3.40-3.41, 1 Tm 3.58
9 Ho 0.0479 0.0957 0.3933  6 Ho 3.36-3.75, 2 Pr 3.51, 1 Tm 3.60
10 Ho 0.7092 0.4185 0.4264  3 Ho 3.09-3.45, 1 Pr 3.13
11 Tm 0.8668 0.7336 0.8607  5 Ho 3.58-3.68, 7 Pr 3.66-3.89, 1 Tm 3.74
12 Tm 0.1332 0.2664 0.1393  5 Ho 3.58-3.68, 7 Pr 3.66-3.89, 1 Tm 3.74

Relative energy among the computed polymorphs in eV/f.u.: 0.00
Theoretical density in Mg/m³: 7.98
DFT formation energy in eV per atom: 0.0988
E_tot in eV per atom: -4.53